(1)
Here is a relaxed YAuSeO crystal from OQMD. Energies are from PBE.

Computed properties:
Calculated volume in Å³ per cell: 365.5
Offset from the most stable computed form in meV per atom: 0.0

Cell: 5.7375 5.7324 11.1197 Å, 90.00 92.14 90.00°
Space group P2_1 (No. 4)
One atom of each set of equivalent atoms:
Y (0.0058, 0.0000, 0.0931) [2 per cell]
Y (0.4934, 0.0015, 0.9061) [2 per cell]
Au (0.0030, 0.0234, 0.7286) [2 per cell]
Au (0.3159, 0.2767, 0.5034) [2 per cell]
Se (0.3008, 0.2241, 0.2862) [2 per cell]
Se (0.3076, 0.3241, 0.7208) [2 per cell]
O (0.2494, 0.2498, 0.0019) [2 per cell]
O (0.2515, 0.7501, 0.9997) [2 per cell]

---

(2)
Here is a relaxed YAuSeO crystal from OQMD. Energies are from PBE.

Computed properties:
Calculated volume in Å³ per cell: 174.5
Offset from the most stable computed form in meV per atom: 471.5

Cell: 4.2246 6.2660 6.5925 Å, 90.00 90.00 90.00°
Space group Pmc2_1 (No. 26)
One atom of each set of equivalent atoms:
Y (0.0000, 0.1930, 0.0000) [2 per cell]
Au (0.5000, 0.2680, 0.6456) [2 per cell]
Se (0.5000, 0.3475, 0.2518) [2 per cell]
O (0.0000, 0.0746, 0.6941) [2 per cell]

---

(3)
Here is a relaxed YAuSeO crystal from OQMD. Energies are from PBE.

Computed properties:
Calculated volume in Å³ per cell: 283.5
Offset from the most stable computed form in meV per atom: 235.0

Cell: 7.3440 6.2372 6.1887 Å, 90.00 90.04 90.00°
Space group P2_1/c (No. 14)
One atom of each set of equivalent atoms:
Y (0.1035, 0.0041, 0.2501) [4 per cell]
Au (0.4226, 0.2073, 0.5110) [4 per cell]
Se (0.3053, 0.5380, 0.3027) [4 per cell]
O (0.0038, 0.7407, 0.0000) [4 per cell]

---

(4)
Here is a relaxed YAuSeO crystal from OQMD. Energies are from PBE.

Computed properties:
Calculated volume in Å³ per cell: 304.9
Offset from the most stable computed form in meV per atom: 8.8

Cell: 9.5984 5.6297 5.6433 Å, 90.00 90.00 90.00°
Space group Aem2 (No. 39)
One atom of each set of equivalent atoms:
Y (0.1147, 0.2500, 0.0000) [4 per cell]
Au (0.5000, 0.0000, 0.0009) [4 per cell]
Se (0.2787, 0.2500, 0.5009) [4 per cell]
O (0.0000, 0.0000, 0.2500) [4 per cell]

---

(5)
Here is a relaxed YAuSeO crystal from OQMD. Energies are from PBE.

Computed properties:
Calculated volume in Å³ per cell: 147.4
Offset from the most stable computed form in meV per atom: 92.6

Cell: 3.9486 3.9486 9.4523 Å, 90.00 90.00 90.00°
Space group P4/nmm (No. 129, origin choice 2)
One atom of each set of equivalent atoms:
Y (0.2500, 0.2500, 0.1178) [2 per cell]
Au (0.2500, 0.7500, 0.5000) [2 per cell]
Se (0.2500, 0.2500, 0.7173) [2 per cell]
O (0.2500, 0.7500, 0.0000) [2 per cell]

---

(6)
Here is a relaxed Si2Au2O5 crystal from OQMD. Energies are from PBE.

Computed properties:
Calculated volume in Å³ per cell: 98.0
Offset from the most stable computed form in meV per atom: 0.0

Cell: 3.4362 3.4362 8.2975 Å, 90.00 90.00 90.00°
Space group P4/mmm (No. 123)
One atom of each set of equivalent atoms:
Si (0.0000, 0.0000, 0.2152) [2 per cell]
Au (0.5000, 0.5000, 0.0000) [1 per cell]
Au (0.5000, 0.5000, 0.5000) [1 per cell]
O (0.0000, 0.0000, 0.0000) [1 per cell]
O (0.0000, 0.5000, 0.2598) [4 per cell]

---

Among the records above, which one has the highest calculated volume?
number 1